(1)
28
Lattice="10.1890 0.0000 0.0000 0.0000 5.2857 0.0011 0.0000 5.2483 7.4436" Properties=species:S:1:pos:R:3 comment="NaZnPO4 (PBE-GGA, relaxed)" sg=P2_1/c relative_energy_mev_per_atom=0 formation_energy_uncorrected_ev_per_fu=-14.63 pbc="T T T"
O 3.3308 3.4182 4.2222
O 1.5169 6.4083 3.0538
O 3.8017 5.7002 5.2054
O 8.6721 4.1257 4.3908
O 1.7637 0.7940 0.5004
O 3.5776 9.0325 6.7756
O 8.8962 7.4580 5.9610
O 0.5002 9.2911 5.8203
O 6.6114 1.5015 0.6690
O 8.4253 9.7400 6.9443
O 4.5943 6.6670 2.0985
O 1.2927 3.0760 1.4837
O 6.3872 4.8339 2.2392
O 6.8582 7.1158 3.2225
O 9.6888 1.2429 1.6244
O 5.5947 3.8670 5.3461
Na 8.9655 6.4144 3.8601
Na 3.8710 6.7438 7.3063
Na 1.2235 4.1196 3.5846
Na 6.3180 3.7902 0.1383
P 4.0728 4.1758 5.3479
P 9.1673 8.9824 5.8185
P 6.1161 6.3582 2.0968
P 1.0216 1.5516 1.6261
Zn 1.6983 9.4371 7.3663
Zn 3.3961 6.8130 3.6446
Zn 6.7928 3.7210 3.8001
Zn 8.4906 1.0969 0.0783

***

(2)
8
Lattice="4.6533 1.1006 1.9521 0.9428 4.6878 1.9521 0.6280 0.6496 5.0001" Properties=species:S:1:pos:R:3 comment="BaH6Os (PBE-GGA, relaxed)" sg=C2/m relative_energy_mev_per_atom=12 pbc="T T T"
H 1.1332 3.0479 2.4404
H 0.6650 0.6878 1.4323
H 3.0078 1.2355 2.4404
H 3.2162 5.2025 6.4639
H 5.0909 3.3902 6.4639
H 5.5591 5.7502 7.4720
Os 0.0000 0.0000 0.0000
Ba 3.1120 3.2190 4.4522

***

(3)
4
Lattice="5.2678 -0.0042 -0.0011 4.4101 2.8812 -0.0011 1.2465 0.3705 6.0576" Properties=species:S:1:pos:R:3 comment="SrTa2Pt (PBE-GGA, relaxed)" sg=Cm relative_energy_mev_per_atom=192 delta_e_f_ev_per_atom=0.25 pbc="T T T"
Ta 9.5100 2.8271 0.6273
Ta 2.5985 0.7725 1.4029
Pt 5.6599 1.6825 2.6807
Sr 8.2961 2.4662 4.3698

***

(4)
10
Lattice="-4.3700 1.6028 4.7823 -1.3279 -5.9686 5.4434 3.3996 3.4143 6.6184" Properties=species:S:1:pos:R:3 comment="Ac5ZnTe4 (PBE-GGA, relaxed)" sg=I4/m formation_energy_uncorrected_ev_per_fu=-12.42 pbc="T T T"
Te -2.6795 -1.9169 7.5160
Te 0.3725 0.9687 9.3377
Te -2.5233 -1.3627 12.1293
Te 0.2163 0.4144 4.7245
Ac -1.7002 1.9198 11.7814
Ac -2.1897 0.8031 2.3963
Ac -2.0634 1.3308 6.9906
Ac -0.6069 -2.8681 5.0723
Ac -0.2437 -2.2791 9.8632
Zn -0.0051 0.0019 0.0055

***

(5)
4
Lattice="5.3009 0.0228 0.0871 4.3860 2.9771 0.0871 2.7645 0.8561 5.5542" Properties=species:S:1:pos:R:3 comment="Tl2FeSi (PBE-GGA, relaxed)" sg=Cm relative_energy_mev_per_atom=210 formation_energy_uncorrected_ev_per_fu=1.77 pbc="T T T"
Si 2.1568 0.6679 1.5208
Tl 9.4490 2.9262 0.2564
Tl 9.6489 2.9881 3.6935
Fe 7.1093 2.2016 3.2959

***

(6)
10
Lattice="5.1644 0.0000 0.0000 0.0000 9.2038 -0.6515 0.0000 -4.6450 7.9724" Properties=species:S:1:pos:R:3 comment="Tb2Tm7Cd (PBE-GGA, relaxed)" sg=Cmmm delta_e_f_ev_per_atom=0.66 pbc="T T T"
Tm 2.5822 -0.6343 2.2006
Tm 2.5822 5.1932 5.1203
Tm 2.5822 2.2794 3.6604
Tm 0.0000 -1.9351 6.2850
Tm 2.5822 2.2547 0.4016
Tm 2.5822 2.3042 6.9193
Tm 0.0000 6.4940 1.0359
Tb 2.5822 -0.5659 5.4323
Tb 2.5822 5.1248 1.8886
Cd 0.0000 0.0000 0.0000

***

(7)
4
Lattice="4.1528 0.0000 0.0000 2.0764 3.5964 0.0000 2.0764 1.1988 3.3907" Properties=species:S:1:pos:R:3 comment="LiZnCu2 (PBE-GGA, relaxed)" sg=F-43m delta_e_f_ev_per_atom=-0.11 pbc="T T T"
Li 4.1528 2.3976 1.6954
Cu 2.0764 1.1988 0.8477
Cu 0.0000 0.0000 0.0000
Zn 6.2292 3.5964 2.5430

***

(8)
11
Lattice="5.3331 0.0000 0.0000 0.0000 5.3331 0.0000 -2.6665 -2.6665 12.3195" Properties=species:S:1:pos:R:3 comment="La2Nd4Sn3Cl2 (PBE-GGA, relaxed)" sg=I4/mmm formation_energy_uncorrected_ev_per_fu=-9.49 pbc="T T T"
Sn 0.0000 0.0000 4.1803
Sn 0.0000 0.0000 0.0000
Sn 2.6665 2.6665 8.1392
Nd 2.6665 0.0000 2.1288
Nd 0.0000 2.6665 2.1288
Nd 0.0000 2.6665 10.1907
Nd 2.6665 0.0000 10.1907
La 0.0000 0.0000 7.4467
La 2.6665 2.6665 4.8729
Cl 2.6665 2.6665 1.6910
Cl 0.0000 0.0000 10.6285

***

(9)
18
Lattice="6.8450 2.2418 -1.1719 0.2279 7.1991 -1.1719 0.0422 0.0563 17.2397" Properties=species:S:1:pos:R:3 comment="Ag2I6Cl (PBE-GGA, relaxed)" sg=C2/c formation_energy_uncorrected_ev_per_fu=-0.88 pbc="T T T"
I 4.2011 7.8953 4.0796
I 3.9002 7.4444 -0.2732
I 2.9139 1.6020 10.8163
I 2.4770 5.9737 5.4914
I 5.0580 4.0841 14.1112
I 4.6381 3.5236 9.4045
I 2.0571 5.4132 0.7847
I 3.2149 2.0528 15.1691
I 1.0455 3.6341 6.5492
I 6.4176 6.2787 12.6995
I 0.6975 3.2185 2.1964
I 6.0695 5.8632 8.3467
Cl 4.9116 3.7122 3.1380
Cl 2.2035 5.7851 11.7579
Ag 4.3544 6.3875 10.5988
Ag 4.8853 5.9458 1.9790
Ag 2.2297 3.5515 12.9169
Ag 2.7606 3.1097 4.2971

***

(10)
24
Lattice="-2.7835 -0.9392 0.6163 -3.5041 3.0878 -11.1214 4.1277 -11.2305 1.5284" Properties=species:S:1:pos:R:3 comment="Nb11Ir9Ru4 (PBE-GGA, relaxed)" sg=Cmmm delta_e_f_ev_per_atom=-0.36 pbc="T T T"
Ru -0.4400 -4.6180 -1.7153
Ru -0.2391 -7.2422 -4.8069
Ru -1.7199 -4.4640 -7.2614
Ru -1.9209 -1.8397 -4.1698
Nb 1.2880 -5.9028 -3.1784
Nb -2.1857 0.6143 -8.9361
Nb 0.1758 -2.2959 -2.7048
Nb 0.4478 -5.8468 -6.8881
Nb -0.8614 -3.8357 -9.7362
Nb 1.4850 -4.3070 0.1433
Nb 2.8093 -8.7570 -0.6568
Nb -1.2129 0.7545 -4.3285
Nb 0.0000 0.0000 0.0000
Nb -0.6644 -2.2399 -6.4145
Nb 1.8365 -8.8973 -5.2644
Ir -2.9061 -0.3421 -6.3376
Ir 0.6080 -6.9350 -0.5129
Ir -0.7307 -2.5564 0.1136
Ir 0.7462 -8.7398 -2.6391
Ir -0.2586 -8.7218 -7.1498
Ir -1.4292 -6.5255 -9.0902
Ir -2.7679 -2.1469 -8.4638
Ir -1.0800 -4.5409 -4.4883
Ir -1.9014 -0.3601 -1.8268

***

(11)
19
Lattice="-2.5944 -3.9451 -3.3091 6.6997 0.4153 -0.7247 -1.1103 -4.1857 5.8606" Properties=species:S:1:pos:R:3 comment="Tm5Ru2O12 (PBE-GGA, relaxed)" sg=C2/m formation_energy_uncorrected_ev_per_fu=-52.41 pbc="T T T"
O 1.0335 -1.9052 -1.1530
O 3.9191 -1.8839 1.6740
O 1.9615 -5.8103 2.9799
O 2.6276 -3.8479 0.0266
O -1.5015 -2.7640 -0.5507
O 3.8768 -4.3538 -2.8720
O -0.8817 -3.3616 4.6990
O 0.3675 -3.8676 1.8003
O -0.9241 -5.8315 0.1530
O 3.2058 -3.9181 4.5670
O 4.4966 -4.9514 2.3776
O -0.2108 -3.7973 -2.7400
Tm -0.5551 -2.0928 2.9303
Tm 3.1674 -1.6979 -0.4591
Tm -0.1723 -6.0176 2.2861
Tm 0.4433 -4.1010 -0.4815
Tm 2.5518 -3.6145 2.3085
Ru -1.9819 -3.0137 -2.5278
Ru -0.6125 -0.9314 -0.7812

***

(12)
18
Lattice="-3.3750 6.3067 1.0694 -5.2985 -3.8940 6.2430 7.5443 -1.0812 5.7286" Properties=species:S:1:pos:R:3 comment="Ac2Y3Sn4 (PBE-GGA, relaxed)" sg=Cmce relative_energy_mev_per_atom=116 delta_e_f_ev_per_atom=-0.69 pbc="T T T"
Y 0.2715 1.4664 4.4373
Y 0.2868 -3.2883 8.0690
Y -1.4007 -0.1349 8.6037
Y -1.4160 4.6198 4.9720
Y 0.0000 0.0000 0.0000
Y -4.3368 1.2064 3.6562
Sn 1.6913 4.2433 4.7702
Sn -3.4369 3.9048 2.8109
Sn -1.7494 0.7514 2.2762
Sn -2.4125 1.7817 6.3362
Sn 1.2832 -0.4502 6.7047
Sn -2.8206 -2.9118 8.2707
Sn 0.6201 0.5801 10.7648
Sn 2.3076 -2.5733 10.2301
Ac -5.2255 0.0598 7.6134
Ac 4.0962 1.2718 5.4276
Ac -1.8204 -1.8313 5.0549
Ac 0.6912 3.1628 7.9860

***

(13)
10
Lattice="-7.8205 0.1310 -3.7512 6.7205 -5.0341 -2.1779 -2.2614 -4.9833 4.5404" Properties=species:S:1:pos:R:3 comment="KSr3Rh (PBE-GGA, relaxed)" sg=Cmcm relative_energy_mev_per_atom=225 delta_e_f_ev_per_atom=0.09 pbc="T T T"
K -1.2495 -6.5430 0.5486
K -2.1120 -3.3433 -1.9373
Sr -1.1307 -2.4916 2.2702
Sr -5.4509 -6.3710 -1.3553
Sr 1.5407 -5.9613 -2.9913
Sr 0.0000 0.0000 0.0000
Sr -4.9021 -3.9250 1.6027
Sr 2.0895 -3.5152 -0.0334
Rh -7.1742 -4.4384 -0.0924
Rh 3.8128 -5.4479 -1.2962

***

(14)
4
Lattice="5.1437 0.0000 0.0000 2.5718 4.4546 0.0000 2.5718 1.4849 4.1998" Properties=species:S:1:pos:R:3 comment="EuYSiAu (PBE-GGA, relaxed)" sg=F-43m formation_energy_uncorrected_ev_per_fu=-2.58 pbc="T T T"
Y 0.0000 0.0000 0.0000
Au 7.7155 4.4546 3.1499
Eu 5.1437 2.9697 2.0999
Si 2.5718 1.4849 1.0500

***

(15)
5
Lattice="4.5608 0.0000 0.0000 0.0000 4.9743 0.0000 0.0000 0.0000 4.5608" Properties=species:S:1:pos:R:3 comment="HfSi2TcGe (PBE-GGA, relaxed)" sg=P4/mmm formation_energy_uncorrected_ev_per_fu=6.36 pbc="T T T"
Si 2.2804 0.0000 0.0000
Si 0.0000 0.0000 2.2804
Tc 2.2804 2.4872 2.2804
Ge 0.0000 0.0000 0.0000
Hf 0.0000 2.4872 0.0000

***

(16)
5
Lattice="-3.1356 3.7805 -1.4414 -1.8383 0.2933 4.7682 3.6042 3.4385 1.1780" Properties=species:S:1:pos:R:3 comment="RbTi3Ga (PBE-GGA, relaxed)" sg=Pm-3m relative_energy_mev_per_atom=0 delta_e_f_ev_per_atom=1.00 pbc="T T T"
Ti 1.8021 1.7193 0.5890
Ti -1.5678 1.8902 -0.7207
Ti -0.9192 0.1467 2.3841
Ga 0.0000 0.0000 0.0000
Rb -0.6848 3.7562 2.2524

***

(17)
24
Lattice="-4.2982 6.0782 1.1859 -8.7055 -1.9217 2.2563 -0.0275 2.9561 8.7080" Properties=species:S:1:pos:R:3 comment="YCd9Au2 (PBE-GGA, relaxed)" sg=I4_1/amd delta_e_f_ev_per_atom=-0.17 pbc="T T T"
Cd -8.2996 5.8943 9.3282
Cd -2.0891 3.8275 6.4931
Cd -10.2360 7.4665 10.7441
Cd -4.3268 0.6458 2.7102
Cd 0.0000 0.0000 0.0000
Cd -3.2634 4.4300 3.6613
Cd -10.3853 4.7219 7.7776
Cd -12.3217 6.2942 9.1935
Cd -8.3882 -0.3264 4.9525
Cd -5.3491 3.2577 2.1106
Cd -2.2411 1.8182 4.2609
Cd -3.1549 2.6152 8.8433
Cd -5.5286 4.2045 8.5865
Cd -8.9733 2.2683 6.0255
Cd -7.9074 3.4806 3.6753
Cd -7.3224 0.8858 2.6023
Cd -4.4627 5.4168 6.2363
Cd -7.5902 5.0759 6.3715
Y -2.1491 3.0391 0.5929
Y -5.4411 2.0367 5.7786
Au -10.2969 4.6162 4.9068
Au -5.9442 5.5770 3.7787
Au -8.1616 3.0551 8.6679
Au -5.9579 7.0551 8.1327

***

(18)
4
Lattice="-5.2894 -2.9104 -1.7459 -2.4402 -4.2999 -3.8798 0.6862 -2.9452 2.8340" Properties=species:S:1:pos:R:3 comment="LaScP2 (PBE-GGA, relaxed)" sg=Amm2 relative_energy_mev_per_atom=274 delta_e_f_ev_per_atom=-1.20 pbc="T T T"
Sc -3.5905 -5.5894 -1.1545
P -5.1863 -7.0790 -2.3153
P -7.5796 -7.5182 -5.2249
La -1.9384 -2.2570 -1.1186

***

(19)
4
Lattice="-5.9911 -1.9978 -7.1861 -4.2546 -4.2217 -7.4565 -6.4160 -4.3257 -5.6257" Properties=species:S:1:pos:R:3 comment="TlOs3 (PBE-GGA, relaxed)" sg=R-3m relative_energy_mev_per_atom=54 delta_e_f_ev_per_atom=0.73 pbc="T T T"
Tl 0.0000 0.0000 0.0000
Os -8.3308 -5.2726 -10.1341
Os -12.6350 -7.9968 -15.3701
Os -4.0266 -2.5484 -4.8982

***

(20)
5
Lattice="-0.2776 2.2206 4.3041 -4.6946 0.9364 -0.7859 -1.2153 -4.2976 2.1388" Properties=species:S:1:pos:R:3 comment="CoReTe2I (PBE-GGA, relaxed)" sg=P4/mmm relative_energy_mev_per_atom=201 formation_energy_uncorrected_ev_per_fu=7.11 pbc="T T T"
Te -2.3473 0.4682 -0.3930
Te -0.1388 1.1103 2.1521
Re -3.0938 -0.5703 2.8285
I -0.6077 -2.1488 1.0694
Co 0.0000 0.0000 0.0000

***

(21)
4
Lattice="6.2436 0.0152 -0.0065 3.3653 5.2591 0.0065 -4.0855 -3.9468 2.5911" Properties=species:S:1:pos:R:3 comment="KRh2Pb (PBE-GGA, relaxed)" sg=Imm2 delta_e_f_ev_per_atom=0.39 pbc="T T T"
Pb 1.6969 1.7852 1.2988
Rh 9.5033 5.2163 0.0000
Rh 3.8816 -0.4275 1.2923
K 4.8549 2.6648 0.0000

***

(22)
4
Lattice="-0.3386 -0.8635 -3.6041 -1.4795 -3.2849 0.9330 -10.5407 4.7085 -0.1378" Properties=species:S:1:pos:R:3 comment="K2LaAu (PBE-GGA, relaxed)" sg=Cmmm relative_energy_mev_per_atom=320 delta_e_f_ev_per_atom=0.10 pbc="T T T"
K -5.9980 2.6793 -0.0784
K -9.8131 4.3835 -0.1283
La -3.5442 -0.8971 -1.3700
Au -8.8146 1.4572 -1.4389

***

Number 1: E_tot -6.0659 eV per atom. Number 2: E_tot -4.1277 eV per atom. Number 3: E_tot -7.6107 eV per atom. Number 4: E_tot -4.6804 eV per atom. Number 5: E_tot -4.2110 eV per atom. Number 6: E_tot -3.4899 eV per atom. Number 7: E_tot -2.9560 eV per atom. Number 8: E_tot -4.9195 eV per atom. Number 9: E_tot -1.9695 eV per atom. Number 10: E_tot -9.8448 eV per atom. Number 11: E_tot -8.0430 eV per atom. Number 12: E_tot -5.5385 eV per atom. Number 13: E_tot -2.6098 eV per atom. Number 14: E_tot -7.0050 eV per atom. Number 15: E_tot -5.8855 eV per atom. Number 16: E_tot -4.5396 eV per atom. Number 17: E_tot -1.9378 eV per atom. Number 18: E_tot -6.7217 eV per atom. Number 19: E_tot -8.2876 eV per atom. Number 20: E_tot -4.0547 eV per atom. Number 21: E_tot -4.4915 eV per atom. Number 22: E_tot -2.4967 eV per atom.